[1]
Si2PbCl: optimized geometry, GGA-PBE.

Properties
Total magnetization   0.000 μB/atom
Energy   -3.740 eV/atom
Polymorph energy (0 for the lowest one)   440 meV/atom
Calculated volume   23.9 Å³ per atom
N(E_F)   2.038 states/eV per cell
Formation energy without anion corrections   1.4 eV per formula unit

Unit cell a=3.933 b=3.933 c=6.184 alpha=90.00 beta=90.00 gamma=90.00
Space group P4/mmm (No. 123)
Inequivalent atoms, fractional coordinates:
Si 0.000 0.500 0.000 [2 per cell]
Pb 0.000 0.000 0.500 [1 per cell]
Cl 0.500 0.500 0.500 [1 per cell]

***

[2]
SiPb2Cl: optimized geometry, GGA-PBE.

Properties
Total magnetization   0.000 μB/atom
Energy   -3.542 eV/atom
Polymorph energy (0 for the lowest one)   265 meV/atom
Calculated volume   27.5 Å³ per atom
N(E_F)   2.017 states/eV per cell
Formation energy without anion corrections   0.5 eV per formula unit

Unit cell a=3.701 b=3.701 c=8.045 alpha=90.00 beta=90.00 gamma=90.00
Space group P4mm (No. 99)
Inequivalent atoms, fractional coordinates:
Si 0.000 0.000 0.000 [1 per cell]
Pb 0.000 0.000 0.532 [1 per cell]
Pb 0.500 0.500 0.829 [1 per cell]
Cl 0.500 0.500 0.326 [1 per cell]

***

[3]
SiPb2Cl: optimized geometry, GGA-PBE.

Properties
Total magnetization   0.000 μB/atom
Energy   -3.707 eV/atom
Polymorph energy (0 for the lowest one)   99 meV/atom
Calculated volume   29.7 Å³ per atom
N(E_F)   3.390 states/eV per cell
Formation energy without anion corrections   -0.1 eV per formula unit

Unit cell a=15.926 b=3.635 c=4.226 alpha=90.00 beta=104.00 gamma=90.00
Space group Cm (No. 8)
Inequivalent atoms, fractional coordinates:
Si 0.000 0.000 0.000 [2 per cell]
Pb 0.072 0.500 0.564 [2 per cell]
Pb 0.350 0.000 0.865 [2 per cell]
Cl 0.264 0.500 0.286 [2 per cell]

***

[4]
Si2PbCl: optimized geometry, GGA-PBE.

Properties
Total magnetization   0.000 μB/atom
Energy   -3.916 eV/atom
Polymorph energy (0 for the lowest one)   264 meV/atom
Calculated volume   27.6 Å³ per atom
N(E_F)   4.431 states/eV per cell
Formation energy without anion corrections   0.7 eV per formula unit

Unit cell a=12.785 b=3.889 c=4.458 alpha=90.00 beta=94.20 gamma=90.00
Space group C2/m (No. 12)
Inequivalent atoms, fractional coordinates:
Si 0.226 0.000 0.118 [4 per cell]
Pb 0.000 0.000 0.000 [2 per cell]
Cl 0.000 0.500 0.500 [2 per cell]

***

[5]
SiPb2Cl2: optimized geometry, GGA-PBE.

Properties
Total magnetization   0.000 μB/atom
Energy   -3.308 eV/atom
Polymorph energy (0 for the lowest one)   29 meV/atom
Calculated volume   28.2 Å³ per atom
N(E_F)   2.432 states/eV per cell
Formation energy without anion corrections   0.0 eV per formula unit

Unit cell a=5.875 b=5.875 c=8.179 alpha=90.00 beta=90.00 gamma=90.00
Space group I4/mmm (No. 139)
Inequivalent atoms, fractional coordinates:
Si 0.000 0.000 0.000 [2 per cell]
Pb 0.000 0.500 0.250 [4 per cell]
Cl 0.000 0.000 0.321 [4 per cell]

***

[6]
SiPb2Cl: optimized geometry, GGA-PBE.

Properties
Total magnetization   0.000 μB/atom
Energy   -3.466 eV/atom
Polymorph energy (0 for the lowest one)   340 meV/atom
Calculated volume   25.5 Å³ per atom
N(E_F)   11.067 states/eV per cell
Formation energy without anion corrections   0.8 eV per formula unit

Unit cell a=7.415 b=7.415 c=7.415 alpha=90.00 beta=90.00 gamma=90.00
Space group F-43m (No. 216)
Inequivalent atoms, fractional coordinates:
Si 0.000 0.000 0.000 [4 per cell]
Pb 0.000 0.000 0.500 [4 per cell]
Pb 0.250 0.250 0.750 [4 per cell]
Cl 0.250 0.250 0.250 [4 per cell]

***

[7]
SiPb2Cl2: optimized geometry, GGA-PBE.

Properties
Total magnetization   0.000 μB/atom
Energy   -3.336 eV/atom
Polymorph energy (0 for the lowest one)   0 meV/atom
Calculated volume   26.7 Å³ per atom
N(E_F)   7.680 states/eV per cell
Formation energy without anion corrections   -0.1 eV per formula unit

Unit cell a=8.954 b=8.954 c=3.335 alpha=90.00 beta=90.00 gamma=90.00
Space group P4/mbm (No. 127)
Inequivalent atoms, fractional coordinates:
Si 0.000 0.000 0.000 [2 per cell]
Pb 0.194 0.306 0.500 [4 per cell]
Cl 0.120 0.620 0.000 [4 per cell]

***

[8]
SiPb2Cl: optimized geometry, GGA-PBE.

Properties
Total magnetization   0.000 μB/atom
Energy   -3.744 eV/atom
Polymorph energy (0 for the lowest one)   63 meV/atom
Calculated volume   25.7 Å³ per atom
N(E_F)   1.239 states/eV per cell
Formation energy without anion corrections   -0.3 eV per formula unit

Unit cell a=3.572 b=3.542 c=8.125 alpha=90.00 beta=90.16 gamma=90.00
Space group P2/m (No. 10)
Inequivalent atoms, fractional coordinates:
Si 0.000 0.000 0.000 [1 per cell]
Pb 0.499 0.500 0.769 [2 per cell]
Cl 0.000 0.000 0.500 [1 per cell]

***

[9]
Si3PbCl: optimized geometry, GGA-PBE.

Properties
Total magnetization   0.000 μB/atom
Energy   -2.965 eV/atom
Polymorph energy (0 for the lowest one)   420 meV/atom
Calculated volume   32.4 Å³ per atom
N(E_F)   6.200 states/eV per cell
Formation energy without anion corrections   7.0 eV per formula unit

Unit cell a=5.451 b=5.451 c=5.451 alpha=90.00 beta=90.00 gamma=90.00
Space group Pm-3m (No. 221)
Inequivalent atoms, fractional coordinates:
Si 0.000 0.000 0.500 [3 per cell]
Pb 0.000 0.000 0.000 [1 per cell]
Cl 0.500 0.500 0.500 [1 per cell]

***

[10]
Si2PbCl: optimized geometry, GGA-PBE.

Properties
Total magnetization   0.000 μB/atom
Energy   -3.616 eV/atom
Polymorph energy (0 for the lowest one)   564 meV/atom
Calculated volume   23.8 Å³ per atom
N(E_F)   4.440 states/eV per cell
Formation energy without anion corrections   1.9 eV per formula unit

Unit cell a=5.344 b=11.661 c=3.049 alpha=90.00 beta=90.00 gamma=90.00
Space group Cmmm (No. 65)
Inequivalent atoms, fractional coordinates:
Si 0.250 0.250 0.000 [4 per cell]
Pb 0.000 0.000 0.500 [2 per cell]
Cl 0.000 0.500 0.500 [2 per cell]

***

[11]
Si2PbCl: optimized geometry, GGA-PBE.

Properties
Total magnetization   0.000 μB/atom
Energy   -3.743 eV/atom
Polymorph energy (0 for the lowest one)   436 meV/atom
Calculated volume   22.6 Å³ per atom
N(E_F)   1.303 states/eV per cell
Formation energy without anion corrections   1.4 eV per formula unit

Unit cell a=3.256 b=4.708 c=5.890 alpha=90.00 beta=90.00 gamma=90.00
Space group Pmmm (No. 47)
Inequivalent atoms, fractional coordinates:
Si 0.000 0.000 0.000 [1 per cell]
Si 0.500 0.500 0.000 [1 per cell]
Pb 0.000 0.500 0.500 [1 per cell]
Cl 0.500 0.000 0.500 [1 per cell]

***

[12]
Si2PbCl: optimized geometry, GGA-PBE.

Properties
Total magnetization   0.000 μB/atom
Energy   -3.536 eV/atom
Polymorph energy (0 for the lowest one)   643 meV/atom
Calculated volume   22.3 Å³ per atom
N(E_F)   1.270 states/eV per cell
Formation energy without anion corrections   2.3 eV per formula unit

Unit cell a=3.371 b=3.371 c=7.862 alpha=90.00 beta=90.00 gamma=90.00
Space group P4/mmm (No. 123)
Inequivalent atoms, fractional coordinates:
Si 0.000 0.000 0.239 [2 per cell]
Pb 0.500 0.500 0.500 [1 per cell]
Cl 0.500 0.500 0.000 [1 per cell]

***

[13]
SiPb2Cl: optimized geometry, GGA-PBE.

Properties
Total magnetization   0.000 μB/atom
Energy   -3.807 eV/atom
Polymorph energy (0 for the lowest one)   0 meV/atom
Calculated volume   28.7 Å³ per atom
N(E_F)   5.949 states/eV per cell
Formation energy without anion corrections   -0.5 eV per formula unit

Unit cell a=7.318 b=4.241 c=7.774 alpha=90.00 beta=108.11 gamma=90.00
Space group C2/m (No. 12)
Inequivalent atoms, fractional coordinates:
Si 0.000 0.000 0.000 [2 per cell]
Pb 0.235 0.500 0.210 [4 per cell]
Cl 0.000 0.500 0.500 [2 per cell]

***

[14]
SiPb2Cl: optimized geometry, GGA-PBE.

Properties
Total magnetization   0.000 μB/atom
Energy   -3.656 eV/atom
Polymorph energy (0 for the lowest one)   150 meV/atom
Calculated volume   25.1 Å³ per atom
N(E_F)   9.195 states/eV per cell
Formation energy without anion corrections   0.1 eV per formula unit

Unit cell a=7.377 b=7.377 c=7.377 alpha=90.00 beta=90.00 gamma=90.00
Space group Fm-3m (No. 225)
Inequivalent atoms, fractional coordinates:
Si 0.000 0.000 0.000 [4 per cell]
Pb 0.250 0.250 0.250 [8 per cell]
Cl 0.000 0.000 0.500 [4 per cell]

***

[15]
Si2PbCl: optimized geometry, GGA-PBE.

Properties
Total magnetization   0.000 μB/atom
Energy   -3.872 eV/atom
Polymorph energy (0 for the lowest one)   307 meV/atom
Calculated volume   24.3 Å³ per atom
N(E_F)   3.095 states/eV per cell
Formation energy without anion corrections   0.9 eV per formula unit

Unit cell a=3.733 b=5.171 c=10.052 alpha=90.00 beta=90.00 gamma=90.00
Space group Imm2 (No. 44)
Inequivalent atoms, fractional coordinates:
Si 0.000 0.000 0.000 [2 per cell]
Si 0.000 0.500 0.368 [2 per cell]
Pb 0.000 0.000 0.602 [2 per cell]
Cl 0.000 0.500 0.757 [2 per cell]